Entry 1:
First-principles (PBE) data for crystalline Li2ReW at its relaxed geometry, as listed in Alexandria via LeMat-Bulk.

```
Li2ReW
1.0
1.3443 0.7761 9.7894
-1.3443 0.7761 9.7894
0.0000 -1.5523 9.7894
Li Re W
2 1 1
Direct
0.2469 0.2469 0.2469
0.7531 0.7531 0.7531
0.5000 0.5000 0.5000
0.0000 0.0000 0.0000
```

Calculated values
ΔE_f: 0.47 eV per atom
Space group: R-3m


Entry 2:
First-principles (PBE) data for crystalline SrLi2SiAu at its relaxed geometry, as listed in Alexandria via LeMat-Bulk.

```
SrLi2SiAu
1.0
4.9434 0.0000 0.0000
0.0000 4.9434 0.0000
0.0000 0.0000 4.7715
Sr Li Si Au
1 2 1 1
Direct
0.0000 0.0000 0.0000
0.0000 0.5000 0.5000
0.5000 0.0000 0.5000
0.5000 0.5000 0.0000
0.5000 0.5000 0.5000
```

Calculated values
Energy relative to the elements, uncorrected: -0.25 eV per atom
Space group: P4/mmm


Entry 3:
First-principles (PBE) data for crystalline LaTlAu4 at its relaxed geometry, as listed in Alexandria via LeMat-Bulk.

```
LaTlAu4
1.0
0.0000 4.0524 4.0524
4.0524 0.0000 4.0524
4.0524 4.0524 0.0000
La Tl Au
1 1 4
Direct
0.0000 0.0000 0.0000
0.7500 0.7500 0.7500
0.3752 0.3752 0.3752
0.3752 0.3752 0.8743
0.3752 0.8743 0.3752
0.8743 0.3752 0.3752
```

Calculated values
ΔE_f: -0.44 eV per atom
Space group: F-43m


Entry 4:
First-principles (PBE) data for crystalline Ac2HgSe at its relaxed geometry, as listed in Alexandria via LeMat-Bulk.

```
Ac2HgSe
1.0
2.1584 1.2461 8.5735
-2.1584 1.2461 8.5735
0.0000 -2.4923 8.5735
Ac Hg Se
2 1 1
Direct
0.0000 0.0000 0.0000
0.1800 0.1800 0.1800
0.4230 0.4230 0.4230
0.5914 0.5914 0.5914
```

Calculated values
Energy relative to the elements, uncorrected: -1.06 eV per atom
Space group: R3m


Entry 5:
First-principles (PBE) data for crystalline MnCoB2 at its relaxed geometry, as listed in Alexandria via LeMat-Bulk.

```
MnCoB2
1.0
3.5479 0.0000 0.0000
0.0000 3.5479 0.0000
0.0000 0.0000 2.4916
Mn Co B
1 1 2
Direct
0.0000 0.0000 0.0000
0.5000 0.5000 0.0000
0.0000 0.5000 0.5000
0.5000 0.0000 0.5000
```

Calculated values
ΔE_f: -0.09 eV per atom
Space group: P4/mmm


Entry 6:
First-principles (PBE) data for crystalline MgIrSe2N at its relaxed geometry, as listed in Alexandria via LeMat-Bulk.

```
MgIrSe2N
1.0
4.9784 0.0000 0.0000
0.0000 4.9784 0.0000
0.0000 0.0000 3.7529
Mg Ir Se N
1 1 2 1
Direct
0.0000 0.0000 0.0000
0.5000 0.5000 0.5000
0.0000 0.5000 0.0000
0.5000 0.0000 0.0000
0.0000 0.0000 0.5000
```

Calculated values
Energy relative to the elements, uncorrected: 1.22 eV per atom
Space group: P4/mmm


Table of density (g/cm3), in record order: 10.4; 4.7; 14.1; 8.8; 7.2; 6.9
Table of E_tot (eV per atom), in record order: -6.84; -3.09; -3.84; -4.06; -7.50; -3.93